(1)
AlRhPb2: relaxed, PBE-GGA.

Geometry as POSCAR:
```
AlRhPb2
1.0
3.3491 0.0000 0.0000
0.0000 3.3107 0.0000
-0.1262 0.0000 8.0042
Al Rh Pb
1 1 2
Direct
0.0000 0.0000 0.0000 Al
0.0000 0.0000 0.5000 Rh
0.4947 0.5000 0.2813 Pb
0.5053 0.5000 0.7187 Pb
```

Properties
Space group ... P2/m (10)
Formation energy from the elements ... 14 kJ/mol of atoms

=====

(2)
YCd2Ga: relaxed, PBE-GGA.

Geometry as POSCAR:
```
YCd2Ga
1.0
4.2645 0.0000 0.0000
0.0000 4.2645 0.0000
0.0000 0.0000 21.7611
Y Cd Ga
4 8 4
Direct
0.0000 0.0000 0.0000 Y
0.0000 0.5000 0.2500 Y
0.5000 0.0000 0.7500 Y
0.5000 0.5000 0.5000 Y
0.2336 0.2500 0.6250 Cd
0.2500 0.7336 0.8750 Cd
0.2500 0.7664 0.3750 Cd
0.2664 0.2500 0.1250 Cd
0.7336 0.7500 0.1250 Cd
0.7500 0.2336 0.3750 Cd
0.7500 0.2664 0.8750 Cd
0.7664 0.7500 0.6250 Cd
0.0000 0.0000 0.5000 Ga
0.0000 0.5000 0.7500 Ga
0.5000 0.0000 0.2500 Ga
0.5000 0.5000 0.0000 Ga
```

Properties
Space group ... I-42d (122)
Formation energy from the elements ... -11 kJ/mol of atoms

=====

(3)
PrTm2Ag2Sn2: relaxed, PBE-GGA.

Geometry as POSCAR:
```
PrTm2Ag2Sn2
1.0
2.4375 1.4073 8.6701
-2.4375 1.4073 8.6701
0.0000 -2.8146 8.6701
Pr Tm Ag Sn
1 2 2 2
Direct
0.0000 0.0000 0.0000 Pr
0.1346 0.1346 0.1346 Tm
0.8654 0.8654 0.8654 Tm
0.4409 0.4409 0.4409 Ag
0.5591 0.5591 0.5591 Ag
0.2617 0.2617 0.2617 Sn
0.7383 0.7383 0.7383 Sn
```

Properties
Space group ... R-3m (166)
Formation energy from the elements ... -43 kJ/mol of atoms

=====

(4)
FeSi2Os: relaxed, PBE-GGA.

Geometry as POSCAR:
```
FeSi2Os
1.0
2.7862 0.0000 0.0000
0.0000 3.7175 0.0000
-0.0058 0.0000 4.9122
Fe Si Os
1 2 1
Direct
0.0000 0.0000 0.0000 Fe
0.0045 0.5000 0.7467 Si
0.9955 0.5000 0.2533 Si
0.5000 0.0000 0.5000 Os
```

Properties
Electronic total energy ... -0.2818 hartree per atom
Space group ... P2/m (10)

=====

(5)
AgTeCl2: relaxed, PBE-GGA.

Geometry as POSCAR:
```
AgTeCl2
1.0
6.5885 0.0000 0.0000
0.0000 7.8507 0.0000
0.0000 0.0000 7.8939
Ag Te Cl
4 4 8
Direct
0.0000 0.0000 0.0000 Ag
0.0000 0.5000 0.5000 Ag
0.5000 0.0000 0.5000 Ag
0.5000 0.5000 0.0000 Ag
0.0000 0.0000 0.5000 Te
0.0000 0.5000 0.0000 Te
0.5000 0.0000 0.0000 Te
0.5000 0.5000 0.5000 Te
0.0000 0.2500 0.2500 Cl
0.0000 0.2500 0.7500 Cl
0.0000 0.7500 0.2500 Cl
0.0000 0.7500 0.7500 Cl
0.5000 0.2500 0.2500 Cl
0.5000 0.2500 0.7500 Cl
0.5000 0.7500 0.2500 Cl
0.5000 0.7500 0.7500 Cl
```

Properties
Space group ... Fmmm (69)
Offset from the most stable computed form ... 0.835 eV/f.u.

=====

(6)
SmGdTe: relaxed, PBE-GGA.

Geometry as POSCAR:
```
SmGdTe
1.0
5.1756 0.0000 0.0000
-2.5878 4.4822 0.0000
0.0000 0.0000 4.1452
Sm Gd Te
1 1 1
Direct
0.0000 0.0000 0.0000 Sm
0.6667 0.3333 0.4915 Gd
0.3333 0.6667 0.2587 Te
```

Properties
Space group ... P3m1 (156)
Offset from the most stable computed form ... 0.821 eV/f.u.

=====

(7)
Ac8Ni2Ge: relaxed, PBE-GGA.

Geometry as POSCAR:
```
Ac8Ni2Ge
1.0
4.4275 -6.9342 0.0000
4.4275 6.9342 0.0000
-2.0853 0.0000 6.5107
Ac Ni Ge
8 2 1
Direct
0.0000 0.0000 0.0000 Ac
0.0171 0.2835 0.5956 Ac
0.1627 0.5836 0.2071 Ac
0.2835 0.0171 0.5956 Ac
0.4502 0.7223 0.8052 Ac
0.5836 0.1627 0.2071 Ac
0.7206 0.7206 0.3731 Ac
0.7223 0.4502 0.8052 Ac
0.0583 0.6627 0.6671 Ni
0.6627 0.0583 0.6671 Ni
0.3601 0.3601 0.9871 Ge
```

Properties
Space group ... Cm (8)
Formation energy from the elements ... -11 kJ/mol of atoms

=====

(8)
Rb8PdAu2O: relaxed, PBE-GGA.

Geometry as POSCAR:
```
Rb8PdAu2O
1.0
7.8077 0.0000 0.0000
0.0000 9.8528 0.0000
-0.1227 0.0000 7.8315
Rb Pd Au O
8 1 2 1
Direct
0.1834 0.2099 0.1671 Rb
0.1834 0.7901 0.1671 Rb
0.2450 0.0000 0.7366 Rb
0.2880 0.5000 0.6899 Rb
0.7120 0.5000 0.3101 Rb
0.7550 0.0000 0.2634 Rb
0.8166 0.2099 0.8329 Rb
0.8166 0.7901 0.8329 Rb
0.0000 0.5000 0.0000 Pd
0.5000 0.2300 0.5000 Au
0.5000 0.7700 0.5000 Au
0.0000 0.0000 0.0000 O
```

Properties
Electronic total energy ... -0.0853 hartree per atom
Space group ... P2/m (10)

=====

no.,total magnetic moment (μB/cell)
1,0.000
2,0.000
3,0.000
4,0.001
5,0.000
6,7.250
7,0.000
8,0.001